{"formula": "Zn2InPb", "functional": "PBE", "state": "relaxed", "lattice": [[-0.673, 1.733, -5.028], [-2.348, -4.176, -2.406], [-1.305, 2.917, 4.305]], "species": ["Zn", "Zn", "Pb", "In"], "frac_coords": [[0.992, 0.992, 0.000], [0.508, 0.508, 0.000], [0.250, 0.750, 0.500], [0.750, 0.250, 0.500]], "de_polymorph_ev_per_atom": 0.066, "delta_e_f_ev_per_atom": 0.16, "sg": "Immm (71)", "magmom_total_mub_per_cell": 0.00, "final_energy_ev_per_cell": -8.355}